The following is a PBE-GGA calculation of TaZnBi3 after structural relaxation, from Alexandria.

```
TaZnBi3
1.0
5.515 0.000 0.000
0.000 5.515 0.000
0.000 0.000 5.515
Bi Zn Ta
3 1 1
direct
0.000 0.500 0.000
0.000 0.000 0.500
0.500 0.000 0.000
0.500 0.500 0.500
0.000 0.000 0.000
```

Output
Calculated total energy in Ry per atom: -0.320
Formation energy in eV per atom: 0.60
E above lowest polymorph in kJ/mol of atoms: 0.00

=====

The following is a PBE-GGA calculation of La2PmNdTm5 after structural relaxation, from Alexandria.

```
La2PmNdTm5
1.0
8.660 0.000 0.000
0.000 8.660 0.000
-4.330 -4.330 7.844
Tm Pm La Nd
10 2 4 2
direct
0.427 0.354 0.280
0.646 0.146 0.720
0.500 0.500 0.000
0.573 0.646 0.720
0.073 0.573 0.720
0.354 0.854 0.280
0.000 0.000 0.000
0.854 0.927 0.280
0.927 0.427 0.280
0.146 0.073 0.720
0.750 0.750 0.500
0.250 0.250 0.500
0.883 0.617 0.000
0.617 0.117 0.000
0.383 0.883 0.000
0.117 0.383 0.000
0.250 0.750 0.500
0.750 0.250 0.500
```

Output
Calculated total energy in Ry per atom: -0.323
Formation energy in eV per atom: 0.25

=====

The following is a PBE-GGA calculation of Ti2MnSe6 after structural relaxation, from Alexandria.

```
Ti2MnSe6
1.0
3.513 0.000 0.000
-1.756 6.786 -2.723
0.000 -0.451 9.184
Se Ti Mn
6 2 1
direct
0.030 0.060 0.787
0.970 0.940 0.213
0.628 0.256 0.534
0.302 0.605 0.872
0.697 0.395 0.128
0.372 0.744 0.466
0.334 0.668 0.169
0.666 0.333 0.831
0.000 0.000 0.500
```

Output
Calculated total energy in Ry per atom: -0.440
Raw formation energy in meV/atom: -892
E above lowest polymorph in kJ/mol of atoms: 0.00

=====

The following is a PBE-GGA calculation of InTeRhI2 after structural relaxation, from Alexandria.

```
InTeRhI2
1.0
5.681 0.000 0.000
0.000 5.681 0.000
0.000 0.000 5.092
I In Te Rh
2 1 1 1
direct
0.500 0.000 0.000
0.000 0.500 0.000
0.500 0.500 0.500
0.000 0.000 0.500
0.000 0.000 0.000
```

Output
Calculated total energy in Ry per atom: -0.241
Raw formation energy in meV/atom: -16
E above lowest polymorph in kJ/mol of atoms: 0.00

=====

The following is a PBE-GGA calculation of Ca2ScSb after structural relaxation, from Alexandria.

```
Ca2ScSb
1.0
-2.663 4.688 0.010
-1.452 2.286 -4.663
-5.198 0.151 -1.425
Sc Ca Sb
1 2 1
direct
0.750 0.750 0.750
0.250 0.250 0.250
0.000 0.000 0.000
0.500 0.500 0.500
```

Output
Calculated total energy in Ry per atom: -0.279
Raw formation energy in meV/atom: -183

=====

The following is a PBE-GGA calculation of Tm2SbS after structural relaxation, from Alexandria.

```
Tm2SbS
1.0
4.022 0.000 0.000
2.011 3.483 0.000
2.011 1.161 6.988
S Tm Sb
1 2 1
direct
0.669 0.669 0.992
0.259 0.259 0.223
0.073 0.073 0.782
0.499 0.499 0.503
```

Output
Calculated total energy in Ry per atom: -0.419
Raw formation energy in meV/atom: -1397
E above lowest polymorph in kJ/mol of atoms: 4.97

=====

The following is a PBE-GGA calculation of TbSm3Tm3 after structural relaxation, from Alexandria.

```
TbSm3Tm3
1.0
-4.824 -3.710 0.993
-2.189 -3.504 -4.578
6.530 -12.917 2.611
Tm Sm Tb
6 6 2
direct
0.601 0.935 0.196
0.065 0.732 0.804
0.399 0.065 0.804
0.935 0.268 0.196
0.268 0.601 0.196
0.732 0.399 0.804
0.132 0.462 0.606
0.200 0.868 0.394
0.462 0.800 0.606
0.868 0.538 0.394
0.800 0.132 0.606
0.538 0.200 0.394
0.333 0.333 0.000
0.667 0.667 0.000
```

Output
Calculated total energy in Ry per atom: -0.326
Formation energy in eV per atom: 0.16
E above lowest polymorph in kJ/mol of atoms: 14.45

=====

The following is a PBE-GGA calculation of K3InPb after structural relaxation, from Alexandria.

```
K3InPb
1.0
-4.598 -7.284 2.646
2.743 2.025 -8.341
8.769 0.950 1.845
K In Pb
6 2 2
direct
0.031 0.791 0.260
0.531 0.291 0.259
0.031 0.272 0.741
0.111 0.281 0.330
0.951 0.781 0.670
0.531 0.772 0.740
0.033 0.532 0.001
0.532 0.032 0.999
0.527 0.283 0.744
0.539 0.783 0.256
```

Output
Calculated total energy in Ry per atom: -0.143
Formation energy in eV per atom: 0.00
E above lowest polymorph in kJ/mol of atoms: 0.00

=====

The following is a PBE-GGA calculation of Rb2GaAs after structural relaxation, from Alexandria.

```
Rb2GaAs
1.0
5.079 0.000 0.000
0.000 5.079 0.000
2.539 2.539 11.595
As Rb Ga
2 4 2
direct
0.750 0.250 0.500
0.000 0.000 0.000
0.875 0.876 0.750
0.375 0.374 0.750
0.124 0.625 0.250
0.626 0.125 0.250
0.250 0.750 0.500
0.500 0.500 0.000
```

Output
Calculated total energy in Ry per atom: -0.153
Formation energy in eV per atom: 0.32
E above lowest polymorph in kJ/mol of atoms: 57.19

=====

The following is a PBE-GGA calculation of K2NpO3F3 after structural relaxation, from Alexandria.

```
K2NpO3F3
1.0
3.275 0.000 0.000
0.000 6.787 0.000
0.000 -3.394 5.878
F K O Np
3 2 3 1
direct
0.000 0.648 0.648
0.000 0.352 0.000
0.000 0.000 0.352
0.500 0.667 0.333
0.500 0.333 0.667
0.500 0.203 0.203
0.500 0.797 0.000
0.500 0.000 0.797
0.000 0.000 0.000
```

Output
Calculated total energy in Ry per atom: -0.473
Raw formation energy in meV/atom: -2479

=====

The following is a PBE-GGA calculation of AlSb2W after structural relaxation, from Alexandria.

```
AlSb2W
1.0
4.827 0.000 0.000
0.000 3.154 0.007
0.000 1.652 5.558
W Sb Al
1 2 1
direct
0.500 0.250 0.250
0.000 0.155 0.008
0.000 0.345 0.492
0.500 0.750 0.750
```

Output
Calculated total energy in Ry per atom: -0.409
Raw formation energy in meV/atom: 668

=====

The following is a PBE-GGA calculation of SiTe2Cl after structural relaxation, from Alexandria.

```
SiTe2Cl
1.0
-0.910 -8.759 -1.284
1.470 -8.575 1.873
-2.448 -8.234 2.325
Cl Te Si
1 2 1
direct
0.000 0.000 0.000
0.105 0.105 0.105
0.895 0.895 0.895
0.500 0.500 0.500
```

Output
Calculated total energy in Ry per atom: -0.249
Raw formation energy in meV/atom: 6
E above lowest polymorph in kJ/mol of atoms: 8.92

=====

The following is a PBE-GGA calculation of LiZr2V after structural relaxation, from Alexandria.

```
LiZr2V
1.0
4.737 0.000 0.000
2.368 4.102 0.000
2.368 1.367 3.867
Li Zr V
1 2 1
direct
0.500 0.500 0.500
0.250 0.250 0.250
0.750 0.750 0.750
0.000 0.000 0.000
```

Output
Calculated total energy in Ry per atom: -0.503
Formation energy in eV per atom: 0.19
E above lowest polymorph in kJ/mol of atoms: 1.81

=====

The following is a PBE-GGA calculation of KVSCl2 after structural relaxation, from Alexandria.

```
KVSCl2
1.0
-1.890 4.418 2.561
-3.621 0.766 -3.994
-3.722 -3.193 2.762
V Cl S K
1 2 1 1
direct
0.500 0.500 0.500
0.500 0.000 0.000
0.000 0.500 0.000
0.000 0.000 0.500
0.000 0.000 0.000
```

Output
Calculated total energy in Ry per atom: -0.232
Raw formation energy in meV/atom: 446
E above lowest polymorph in kJ/mol of atoms: 160.60

=====

The following is a PBE-GGA calculation of BaTc2Pt after structural relaxation, from Alexandria.

```
BaTc2Pt
1.0
-3.662 1.637 2.429
-1.602 -4.375 0.533
1.799 -0.304 2.917
Tc Pt Ba
2 1 1
direct
0.000 0.000 0.000
0.500 0.500 0.000
0.000 0.500 0.500
0.500 0.000 0.500
```

Output
Calculated total energy in Ry per atom: -0.442
Formation energy in eV per atom: 1.16
E above lowest polymorph in kJ/mol of atoms: 93.39